VASP calculation (PBE with a Hubbard U) on a relaxed CsRb2CrF5 crystal.

Summary:
Its crystal system is orthorhombic. As for the uncorrected energy: -43.738 eV for the cell shown.

Unit cell a=7.4980 b=7.4980 c=7.4980 alpha=144.43 beta=128.97 gamma=63.75
Positions (direct):
Cs 0.0000 0.0000 0.0000
Rb 0.2871 0.7871 0.5000
Rb 0.7129 0.2129 0.5000
Cr 0.5000 0.5000 0.0000
F 0.1588 0.3813 0.7775
F 0.3961 0.6187 0.7775
F 0.5000 0.0000 0.5000
F 0.6039 0.3813 0.2225
F 0.8412 0.6187 0.2225